VASP calculation (PBE) on a relaxed structure of TmSn3Ir.

crystal system = triclinic
VASP energy = -27.167 eV per formula unit
energy relative to the elements = -0.365 eV/atom
total magnetic moment = 0.00 μB per formula unit

abc: 4.514 5.149 5.955
angles: 103.19 112.19 90.23
Fractional coordinates of all 5 atoms:
Tm 0.000 0.000 0.000
Sn 0.290 0.948 0.580
Sn 0.454 0.522 0.912
Sn 0.749 0.449 0.499
Ir 0.662 0.914 0.324